Material: RbNpFeF6
Method: DFT, PBE with a Hubbard U
State: relaxed

Cell and atoms, written as POSCAR:
```
RbNpFeF6
1.0
-3.7571 3.9288 5.3178
3.7571 -3.9288 5.3178
3.7571 3.9288 -5.3178
Rb Np Fe F
2 2 2 12
Cartesian
0.0000 1.9644 0.9291
3.7571 1.9644 4.3887
3.7571 0.0000 0.0000
0.0000 0.0000 5.3178
1.8785 1.9644 -2.6589
1.8785 -1.9644 2.6589
1.7196 -0.4797 1.2157
5.7946 -0.4797 1.2157
3.7571 1.9644 -1.6459
1.7196 3.4491 -1.2157
2.0375 -0.4797 4.1021
3.7571 1.9644 1.2627
0.0000 1.9644 4.0551
1.7196 4.4085 1.2157
2.0375 0.4797 6.5335
0.0000 1.9644 6.9637
-2.0375 4.4085 4.1021
2.0375 4.4085 4.1021
```

Mass density (g/cm³): 5.21
Uncorrected energy (eV/atom): -6.358